Entry 1:
{"formula": "Ba4IrI2Br", "functional": "GGA-PBE", "state": "relaxed", "space_group": "No. 10", "dos_ef_per_ev_atom": 0.543, "magnetic_moment_mub_per_cell": 0.00, "crystal_system": "monoclinic", "formation_energy_uncorrected_ev_per_atom": -1.16, "lattice": [[4.616, 0.000, 0.000], [0.000, 8.546, 0.418], [0.000, -2.725, 8.436]], "species": ["Ba", "Ba", "Ba", "Ba", "Ir", "I", "I", "Br"], "fractional_positions": [[0.500, 0.278, 0.209], [0.500, 0.722, 0.791], [0.000, 0.290, 0.800], [0.000, 0.710, 0.200], [0.500, 0.500, 0.000], [0.500, 0.000, 0.500], [0.000, 0.500, 0.500], [0.000, 0.000, 0.000]]}

Entry 2:
{"formula": "KLaCo2", "functional": "GGA-PBE", "state": "relaxed", "space_group": "No. 10", "dos_ef_per_ev_atom": 0.946, "magnetic_moment_mub_per_cell": 2.62, "crystal_system": "monoclinic", "energy_ev_per_fu": -18.31, "lattice": [[3.859, 0.000, 0.000], [0.000, 3.916, -0.006], [0.000, 3.903, 7.640]], "species": ["Co", "Co", "K", "La"], "fractional_positions": [[0.000, 0.108, 0.893], [0.000, 0.392, 0.607], [0.500, 0.250, 0.250], [0.500, 0.750, 0.750]]}